No. 1
La3Pb5 | PBE-GGA | optimized geometry

Unit cell a=9.6361 b=9.6361 c=6.5326 alpha=90.00 beta=90.00 gamma=120.00
Element x y z (fractional)
Pb: 0.3333 0.6667 0.0000
Pb: 0.6667 0.3333 0.5000
Pb: 0.6667 0.3333 0.0000
Pb: 0.3333 0.6667 0.5000
Pb: 0.1989 0.0000 0.2500
Pb: 0.8011 0.0000 0.7500
Pb: 0.0000 0.1989 0.2500
Pb: 0.8011 0.8011 0.2500
Pb: 0.1989 0.1989 0.7500
Pb: 0.0000 0.8011 0.7500
La: 0.6049 0.0000 0.2500
La: 0.3951 0.0000 0.7500
La: 0.0000 0.6049 0.2500
La: 0.3951 0.3951 0.2500
La: 0.6049 0.6049 0.7500
La: 0.0000 0.3951 0.7500

Computed properties:
Total magnetic moment in μB/atom: 0.000
DOS(E_F) in states/eV/f.u.: 6.83
E in eV per atom: -4.5941
Formation energy in eV per formula unit: -3.43



No. 2
La3Pb | PBE-GGA | optimized geometry

Unit cell a=6.2030 b=6.2030 c=3.6239 alpha=90.00 beta=90.00 gamma=108.66
Element x y z (fractional)
La: 0.0000 0.5000 0.5000
La: 0.5000 0.0000 0.5000
La: 0.5000 0.5000 0.0000
Pb: 0.0000 0.0000 0.0000

Computed properties:
Total magnetic moment in μB/atom: 0.000
DOS(E_F) in states/eV/f.u.: 6.16
E in eV per atom: -4.8944
Formation energy in eV per formula unit: -1.09